LiSiTc2 | PBE-GGA | relaxed

```
data_LiSiTc2
_chemical_formula_sum 'Li2 Si2 Tc4'
_cell_length_a 2.9044
_cell_length_b 4.5561
_cell_length_c 8.7815
_cell_angle_alpha 90.00
_cell_angle_beta 90.00
_cell_angle_gamma 90.00
_symmetry_space_group_name_H-M 'C m m 2'
_symmetry_Int_Tables_number 35
_symmetry_space_group_name_Hall 'C 2 -2'
loop_
_atom_site_label
_atom_site_type_symbol
_atom_site_fract_x
_atom_site_fract_y
_atom_site_fract_z
_atom_site_occupancy
Li1 Li 0.0000 0.0000 0.0000 1
Si1 Si 0.0000 0.5000 0.2487 1
Tc1 Tc 0.0000 0.0000 0.4822 1
Tc2 Tc 0.0000 0.5000 0.7300 1
```

Computed properties:
As for the uncorrected formation energy: 2.9 kcal/mol of atoms. The total magnetization is 0.0000 μB per atom. As for the density of states at the Fermi level: 6.86 states/eV/cell. For the final energy, the calculation gives -6.893 eV/atom.

Be2CdOs | PBE-GGA | relaxed

```
data_Be2CdOs
_chemical_formula_sum 'Be2 Cd1 Os1'
_cell_length_a 2.9951
_cell_length_b 2.9951
_cell_length_c 5.7617
_cell_angle_alpha 90.00
_cell_angle_beta 90.00
_cell_angle_gamma 90.00
_symmetry_space_group_name_H-M 'P 4/m m m'
_symmetry_Int_Tables_number 123
_symmetry_space_group_name_Hall '-P 4 2'
loop_
_atom_site_label
_atom_site_type_symbol
_atom_site_fract_x
_atom_site_fract_y
_atom_site_fract_z
_atom_site_occupancy
Be1 Be 0.0000 0.0000 0.1829 1
Cd1 Cd 0.5000 0.5000 0.5000 1
Os1 Os 0.5000 0.5000 0.0000 1
```

Computed properties:
For the energy relative to the elements, the calculation gives 0.008 eV per atom. The total magnetization is 0.0000 μB per atom. As for the density of states at the Fermi level: 1.72 states/eV/cell. For the final energy, the calculation gives -4.892 eV/atom.